1.
This record from Alexandria describes a relaxed structure of Y2NpUAs4. The functional is PBE.

abc: 7.0747 4.0894 7.1736
angles: 90.00 109.21 90.00
Closest atoms and distances in Å follow each position.
Space group P2/m (No. 10)
Asymmetric unit:
Y1 0.0000 0.0000 0.0000 [1 per cell]  6 As 2.92
Y2 0.5000 0.5000 0.0000 [1 per cell]  6 As 2.91
Np1 0.0000 0.5000 0.5000 [1 per cell]  6 As 2.90
U1 0.5000 0.0000 0.5000 [1 per cell]  6 As 2.88-2.89
As1 0.2502 0.0000 0.7470 [2 per cell]  1 U 2.88, 2 Np 2.90, 3 Y 2.91-2.92
As2 0.2522 0.5000 0.2526 [2 per cell]  2 U 2.89, 1 Np 2.90, 3 Y 2.91-2.92

**DOS(E_F)**: 12.0 states/eV per cell

2.
This record from Alexandria describes a relaxed structure of ZrNp4U3As8. The functional is PBE.

abc: 8.1596 8.1596 19.8278
angles: 90.00 90.00 120.00
Closest atoms and distances in Å follow each position.
Space group R-3m (No. 166, hexagonal axes)
Asymmetric unit:
Zr1 0.0000 0.0000 0.0000 [3 per cell]  6 As 2.81
Np1 0.0000 0.0000 0.5000 [3 per cell]  6 As 2.94
Np2 0.0000 0.5000 0.5000 [9 per cell]  6 As 2.88
U1 0.0000 0.5000 0.0000 [9 per cell]  6 As 2.87-2.88
As1 0.0000 0.0000 0.2501 [6 per cell]  3 U 2.88, 3 Np 2.88
As2 0.0071 0.5036 0.7479 [18 per cell]  1 Zr 2.81, 2 U 2.87, 3 Np 2.88-2.94

**DOS(E_F)**: 131.2 states/eV per cell

3.
This record from Alexandria describes a relaxed structure of Zr2NpUAs4. The functional is PBE.

abc: 6.8356 3.9531 6.9575
angles: 90.00 109.17 90.00
Closest atoms and distances in Å follow each position.
Space group P2/m (No. 10)
Asymmetric unit:
Zr1 0.0000 0.0000 0.0000 [1 per cell]  6 As 2.76-2.77
Zr2 0.5000 0.5000 0.0000 [1 per cell]  6 As 2.76
Np1 0.0000 0.5000 0.5000 [1 per cell]  6 As 2.86-2.87
U1 0.5000 0.0000 0.5000 [1 per cell]  6 As 2.86
As1 0.2466 0.5000 0.2372 [2 per cell]  3 Zr 2.76, 2 U 2.86, 1 Np 2.87
As2 0.2548 0.0000 0.7625 [2 per cell]  3 Zr 2.76-2.77, 1 U 2.86, 2 Np 2.86

**DOS(E_F)**: 12.4 states/eV per cell

4.
This record from Alexandria describes a relaxed structure of ZrNpU2As4. The functional is PBE.

abc: 6.9074 3.9854 7.0881
angles: 90.00 108.76 90.00
Closest atoms and distances in Å follow each position.
Space group P2/m (No. 10)
Asymmetric unit:
Zr1 0.0000 0.0000 0.0000 [1 per cell]  6 As 2.79-2.80
Np1 0.5000 0.5000 0.0000 [1 per cell]  6 As 2.85
U1 0.0000 0.5000 0.5000 [1 per cell]  6 As 2.84-2.85
U2 0.5000 0.0000 0.5000 [1 per cell]  6 As 2.90
As1 0.2412 0.5000 0.2417 [2 per cell]  2 Zr 2.80, 3 U 2.84-2.90, 1 Np 2.85
As2 0.2442 0.0000 0.7543 [2 per cell]  1 Zr 2.79, 3 U 2.85-2.90, 2 Np 2.85

**DOS(E_F)**: 16.4 states/eV per cell

5.
This record from Alexandria describes a relaxed structure of NpVAs3. The functional is PBE.

abc: 12.0739 5.6852 5.5591
angles: 90.00 90.00 90.00
Closest atoms and distances in Å follow each position.
Space group Pbcm (No. 57)
Asymmetric unit:
Np1 0.1872 0.0102 0.2500 [4 per cell]  9 As 2.93-3.04
V1 0.4140 0.7500 0.0000 [4 per cell]  6 As 2.49-2.57, 2 V 2.78
As1 0.0027 0.7500 0.0000 [4 per cell]  4 As 2.78-2.84, 4 Np 3.01
As2 0.2738 0.5120 0.2500 [4 per cell]  2 V 2.57
As3 0.4250 0.1133 0.2500 [4 per cell]  4 V 2.49-2.51

**DOS(E_F)**: 37.9 states/eV per cell

6.
This record from Alexandria describes a relaxed structure of NpVAs2. The functional is PBE.

abc: 2.9726 2.9726 28.9960
angles: 90.00 90.00 120.00
Closest atoms and distances in Å follow each position.
Space group R-3m (No. 166, hexagonal axes)
Asymmetric unit:
Np1 0.0000 0.0000 0.0000 [3 per cell]  6 Np 2.97, 2 As 2.99
V1 0.0000 0.0000 0.5000 [3 per cell]  6 As 2.52
As1 0.0000 0.0000 0.1030 [6 per cell]  3 V 2.52

**Energy above the lowest structure with this stoichiometry**: 0.3087 eV/atom
**DOS(E_F)**: 13.1 states/eV per cell

7.
This record from Alexandria describes a relaxed structure of NpVAs2. The functional is PBE.

abc: 3.1929 3.1929 6.9949
angles: 90.00 90.00 90.00
Closest atoms and distances in Å follow each position.
Space group P4/mmm (No. 123)
Asymmetric unit:
Np1 0.0000 0.0000 0.0000 [1 per cell]  8 As 3.05, 4 Np 3.19
V1 0.0000 0.0000 0.5000 [1 per cell]  8 As 2.68
As1 0.5000 0.5000 0.2942 [2 per cell]  4 V 2.68, 1 As 2.88

**Energy above the lowest structure with this stoichiometry**: 0.0767 eV/atom
**DOS(E_F)**: 6.3 states/eV per cell

8.
This record from Alexandria describes a relaxed structure of NpVAs2. The functional is PBE.

abc: 3.3429 3.3976 13.4391
angles: 90.00 90.00 90.00
Closest atoms and distances in Å follow each position.
Space group Amm2 (No. 38)
Asymmetric unit:
Np1 0.0000 0.0000 0.0000 [2 per cell]  8 As 2.91-3.17, 1 V 3.20
V1 0.0000 0.0000 0.7617 [2 per cell]  6 As 2.50-2.63
As1 0.5000 0.0000 0.3448 [2 per cell]  4 V 2.63
As2 0.5000 0.0000 0.6238 [2 per cell]  2 V 2.50

**Energy above the lowest structure with this stoichiometry**: 0.0000 eV/atom
**DOS(E_F)**: 13.2 states/eV per cell

| no. | ρ (g/cm³) | formation energy (eV/f.u.) | uncorrected energy (eV per atom) |
| --- | --- | --- | --- |
| 1 | 8.07 | -9.069 | -8.103 |
| 2 | 10.25 | -12.288 | -8.979 |
| 3 | 8.95 | -7.656 | -8.447 |
| 4 | 9.92 | -6.649 | -8.664 |
| 5 | 8.92 | -2.562 | -7.714 |
| 6 | 9.83 | -0.219 | -7.894 |
| 7 | 10.19 | -1.146 | -8.126 |
| 8 | 9.52 | -1.453 | -8.203 |